DFT (PBE-GGA) results for an optimized crystal structure of Tb4Mg5Ga2.

abc: 3.5709 7.9531 9.9521
angles: 93.90 90.00 90.00
Element x y z (fractional)
Ga 0.0000 0.9418 0.3699
Ga 0.0000 0.0582 0.6301
Tb 0.5000 0.2529 0.4427
Tb 0.5000 0.8418 0.1329
Tb 0.5000 0.7471 0.5573
Tb 0.5000 0.1582 0.8671
Mg 0.0000 0.5000 0.0000
Mg 0.0000 0.8119 0.8408
Mg 0.0000 0.5646 0.3042
Mg 0.0000 0.1881 0.1592
Mg 0.0000 0.4354 0.6958

Results
* V: 25.635 Å³/atom
* ρ: 5.28 Mg/m³
* VASP energy: -3.167 eV/atom
* SG: No. 10
* spin magnetization: 0.00 μB per cell
* density of states at the Fermi level: 10.393 states/eV/cell